A relaxed structure of Pm3ErPu3Se8. Source: Alexandria via LeMat-Bulk, functional PBE.

```
data_Pm3ErPu3Se8
_chemical_formula_sum 'Pm9 Er3 Pu9 Se24'
_cell_length_a 8.3079
_cell_length_b 8.3079
_cell_length_c 20.4014
_cell_angle_alpha 90.00
_cell_angle_beta 90.00
_cell_angle_gamma 120.00
_symmetry_space_group_name_H-M 'R -3 m'
_symmetry_Int_Tables_number 166
_symmetry_space_group_name_Hall '-R 3 2"'
loop_
_atom_site_label
_atom_site_type_symbol
_atom_site_fract_x
_atom_site_fract_y
_atom_site_fract_z
Pm1 Pm 0.0000 0.5000 0.0000
Er1 Er 0.0000 0.0000 0.5000
Pu1 Pu 0.0000 0.5000 0.5000
Se1 Se 0.0000 0.0000 0.2480
Se2 Se 0.0043 0.5021 0.2479
```

Results
Total magnetic moment: 51.67 μB per cell
E_form (uncorrected): -1742 meV/atom

=====

A relaxed structure of Nd2CuF. Source: Alexandria via LeMat-Bulk, functional PBE.

```
data_Nd2CuF
_chemical_formula_sum 'Nd6 Cu3 F3'
_cell_length_a 4.3643
_cell_length_b 4.3643
_cell_length_c 22.4631
_cell_angle_alpha 90.00
_cell_angle_beta 90.00
_cell_angle_gamma 120.00
_symmetry_space_group_name_H-M 'R -3 m'
_symmetry_Int_Tables_number 166
_symmetry_space_group_name_Hall '-R 3 2"'
loop_
_atom_site_label
_atom_site_type_symbol
_atom_site_fract_x
_atom_site_fract_y
_atom_site_fract_z
Nd1 Nd 0.0000 0.0000 0.1023
Cu1 Cu 0.0000 0.0000 0.5000
F1 F 0.0000 0.0000 0.0000
```

Results
Total magnetic moment: 0.01 μB per cell
E_form (uncorrected): -1168 meV/atom

=====

A relaxed structure of HfZnCu2Tc. Source: Alexandria via LeMat-Bulk, functional PBE.

```
data_HfZnCu2Tc
_chemical_formula_sum 'Hf1 Zn1 Cu2 Tc1'
_cell_length_a 4.5372
_cell_length_b 4.5372
_cell_length_c 4.6089
_cell_angle_alpha 90.00
_cell_angle_beta 90.00
_cell_angle_gamma 90.00
_symmetry_space_group_name_H-M 'P 4/m m m'
_symmetry_Int_Tables_number 123
_symmetry_space_group_name_Hall '-P 4 2'
loop_
_atom_site_label
_atom_site_type_symbol
_atom_site_fract_x
_atom_site_fract_y
_atom_site_fract_z
Hf1 Hf 0.0000 0.0000 0.0000
Zn1 Zn 0.5000 0.5000 0.0000
Cu1 Cu 0.0000 0.5000 0.5000
Tc1 Tc 0.5000 0.5000 0.5000
```

Results
Total magnetic moment: 0.00 μB per cell
DFT formation energy: 1016 meV per atom

=====

A relaxed structure of Pa2TaTiN6. Source: Alexandria via LeMat-Bulk, functional PBE.

```
data_Pa2TaTiN6
_chemical_formula_sum 'Pa2 Ta1 Ti1 N6'
_cell_length_a 5.3162
_cell_length_b 5.3162
_cell_length_c 4.9254
_cell_angle_alpha 90.00
_cell_angle_beta 90.00
_cell_angle_gamma 90.00
_symmetry_space_group_name_H-M 'P 4 m m'
_symmetry_Int_Tables_number 99
_symmetry_space_group_name_Hall 'P 4 -2'
loop_
_atom_site_label
_atom_site_type_symbol
_atom_site_fract_x
_atom_site_fract_y
_atom_site_fract_z
Pa1 Pa 0.0000 0.5000 0.0000
Ta1 Ta 0.0000 0.0000 0.5886
Ti1 Ti 0.5000 0.5000 0.5868
N1 N 0.0000 0.0000 0.2000
N2 N 0.2510 0.2510 0.7459
N3 N 0.5000 0.5000 0.2110
```

Results
Total magnetic moment: 0.83 μB per cell
E_form (uncorrected): -1320 meV/atom

=====

Question: Which formula does entry 1 have?
Answer: Pm3ErPu3Se8

=====

Question: Among the records above, which one has the highest total magnetic moment?
Answer: Pm3ErPu3Se8

=====

Repeat the third record exactly.
A relaxed structure of HfZnCu2Tc. Source: Alexandria via LeMat-Bulk, functional PBE.

```
data_HfZnCu2Tc
_chemical_formula_sum 'Hf1 Zn1 Cu2 Tc1'
_cell_length_a 4.5372
_cell_length_b 4.5372
_cell_length_c 4.6089
_cell_angle_alpha 90.00
_cell_angle_beta 90.00
_cell_angle_gamma 90.00
_symmetry_space_group_name_H-M 'P 4/m m m'
_symmetry_Int_Tables_number 123
_symmetry_space_group_name_Hall '-P 4 2'
loop_
_atom_site_label
_atom_site_type_symbol
_atom_site_fract_x
_atom_site_fract_y
_atom_site_fract_z
Hf1 Hf 0.0000 0.0000 0.0000
Zn1 Zn 0.5000 0.5000 0.0000
Cu1 Cu 0.0000 0.5000 0.5000
Tc1 Tc 0.5000 0.5000 0.5000
```

Results
Total magnetic moment: 0.00 μB per cell
DFT formation energy: 1016 meV per atom

=====

Question: Which value of total magnetic moment does entry 1 give?
Answer: 51.67 μB per cell